1.
# ErGePt, optimized geometry, DFT GGA-PBE
data_ErGePt
_cell_length_a 3.789
_cell_length_b 3.789
_cell_length_c 8.559
_cell_angle_alpha 90.00
_cell_angle_beta 90.00
_cell_angle_gamma 90.00
_symmetry_space_group_name_H-M 'I 4 m m'
_symmetry_Int_Tables_number 107
_symmetry_space_group_name_Hall 'I 4 -2'
loop_
_atom_site_label
_atom_site_fract_x
_atom_site_fract_y
_atom_site_fract_z
Er1 0.000 0.000 0.000
Ge1 0.000 0.000 0.327
Pt1 0.000 0.000 0.638
# Spin magnetization = 0.00 μB/f.u.
# Formation energy = -2.1 eV/f.u.
# ρ = 11.759 g/cm³
# Uncorrected energy = -5.7644 eV/atom

2.
# Er3Ge2Pt, optimized geometry, DFT GGA-PBE
data_Er3Ge2Pt
_cell_length_a 11.502
_cell_length_b 4.259
_cell_length_c 11.233
_cell_angle_alpha 90.00
_cell_angle_beta 90.00
_cell_angle_gamma 90.00
_symmetry_space_group_name_H-M 'P n m a'
_symmetry_Int_Tables_number 62
loop_
_symmetry_equiv_pos_as_xyz
'x,y,z'
'-x,-y,-z'
'-x+1/2,-y,z+1/2'
'x+1/2,y,-z+1/2'
'x+1/2,-y+1/2,-z+1/2'
'-x+1/2,y+1/2,z+1/2'
'-x,y+1/2,-z'
'x,-y+1/2,z'
loop_
_atom_site_label
_atom_site_fract_x
_atom_site_fract_y
_atom_site_fract_z
Er1 0.054 0.250 0.127
Er2 0.121 0.750 0.559
Er3 0.220 0.250 0.807
Ge1 0.008 0.750 0.308
Ge2 0.185 0.750 0.006
Pt1 0.128 0.250 0.372
# Spin magnetization = 0.00 μB/f.u.
# Formation energy = -5.9 eV/f.u.
# ρ = 10.166 g/cm³
# Uncorrected energy = -5.8041 eV/atom

3.
# Er4GePt3, optimized geometry, DFT GGA-PBE
data_Er4GePt3
_cell_length_a 3.836
_cell_length_b 4.314
_cell_length_c 10.645
_cell_angle_alpha 90.00
_cell_angle_beta 90.00
_cell_angle_gamma 90.00
_symmetry_space_group_name_H-M 'P m m 2'
_symmetry_Int_Tables_number 25
loop_
_symmetry_equiv_pos_as_xyz
'x,y,z'
'-x,-y,z'
'-x,y,z'
'x,-y,z'
loop_
_atom_site_label
_atom_site_fract_x
_atom_site_fract_y
_atom_site_fract_z
Er1 0.000 0.000 0.000
Er2 0.000 0.500 0.278
Er3 0.500 0.000 0.494
Er4 0.500 0.500 0.776
Ge1 0.000 0.000 0.720
Pt1 0.000 0.500 0.553
Pt2 0.500 0.000 0.224
Pt3 0.500 0.500 0.045
# Spin magnetization = 0.00 μB/f.u.
# Formation energy = -9.6 eV/f.u.
# ρ = 12.507 g/cm³
# Uncorrected energy = -6.3186 eV/atom

4.
# Er4Ge3Pt, optimized geometry, DFT GGA-PBE
data_Er4Ge3Pt
_cell_length_a 4.062
_cell_length_b 4.100
_cell_length_c 10.733
_cell_angle_alpha 90.00
_cell_angle_beta 90.00
_cell_angle_gamma 90.00
_symmetry_space_group_name_H-M 'P m m 2'
_symmetry_Int_Tables_number 25
loop_
_symmetry_equiv_pos_as_xyz
'x,y,z'
'-x,-y,z'
'-x,y,z'
'x,-y,z'
loop_
_atom_site_label
_atom_site_fract_x
_atom_site_fract_y
_atom_site_fract_z
Er1 0.000 0.000 0.000
Er2 0.000 0.500 0.490
Er3 0.500 0.000 0.716
Er4 0.500 0.500 0.220
Ge1 0.000 0.500 0.769
Ge2 0.500 0.000 0.443
Ge3 0.500 0.500 0.937
Pt1 0.000 0.000 0.269
# Spin magnetization = 0.00 μB/f.u.
# Formation energy = -7.7 eV/f.u.
# ρ = 10.053 g/cm³
# Uncorrected energy = -5.7282 eV/atom

5.
# Er2Ge3Pt4Rh, optimized geometry, DFT GGA-PBE
data_Er2Ge3Pt4Rh
_cell_length_a 3.970
_cell_length_b 3.970
_cell_length_c 11.654
_cell_angle_alpha 90.00
_cell_angle_beta 90.00
_cell_angle_gamma 90.00
_symmetry_space_group_name_H-M 'P -4 m 2'
_symmetry_Int_Tables_number 115
loop_
_symmetry_equiv_pos_as_xyz
'x,y,z'
'y,-x,-z'
'-x,-y,z'
'-y,x,-z'
'-x,y,z'
'-y,-x,-z'
'x,-y,z'
'y,x,-z'
loop_
_atom_site_label
_atom_site_fract_x
_atom_site_fract_y
_atom_site_fract_z
Er1 0.000 0.500 0.238
Ge1 0.000 0.000 0.000
Ge2 0.000 0.500 0.635
Pt1 0.000 0.000 0.500
Pt2 0.000 0.500 0.840
Pt3 0.500 0.500 0.500
Rh1 0.500 0.500 0.000
# Spin magnetization = 0.00 μB/f.u.
# Formation energy = -8.0 eV/f.u.
# ρ = 12.977 g/cm³
# Uncorrected energy = -6.2473 eV/atom

6.
# Er2Ge4Pt3Rh, optimized geometry, DFT GGA-PBE
data_Er2Ge4Pt3Rh
_cell_length_a 4.093
_cell_length_b 4.093
_cell_length_c 10.922
_cell_angle_alpha 90.00
_cell_angle_beta 90.00
_cell_angle_gamma 90.00
_symmetry_space_group_name_H-M 'P -4 m 2'
_symmetry_Int_Tables_number 115
loop_
_symmetry_equiv_pos_as_xyz
'x,y,z'
'y,-x,-z'
'-x,-y,z'
'-y,x,-z'
'-x,y,z'
'-y,-x,-z'
'x,-y,z'
'y,x,-z'
loop_
_atom_site_label
_atom_site_fract_x
_atom_site_fract_y
_atom_site_fract_z
Er1 0.000 0.500 0.240
Ge1 0.000 0.000 0.500
Ge2 0.000 0.500 0.866
Ge3 0.500 0.500 0.500
Pt1 0.000 0.000 0.000
Pt2 0.000 0.500 0.644
Rh1 0.500 0.500 0.000
# Spin magnetization = 0.00 μB/f.u.
# Formation energy = -8.8 eV/f.u.
# ρ = 11.918 g/cm³
# Uncorrected energy = -6.1841 eV/atom

7.
# ErGe2Pt4Rh, optimized geometry, DFT GGA-PBE
data_ErGe2Pt4Rh
_cell_length_a 3.920
_cell_length_b 3.920
_cell_length_c 9.674
_cell_angle_alpha 90.00
_cell_angle_beta 90.00
_cell_angle_gamma 90.00
_symmetry_space_group_name_H-M 'P 4/m m m'
_symmetry_Int_Tables_number 123
_symmetry_space_group_name_Hall '-P 4 2'
loop_
_atom_site_label
_atom_site_fract_x
_atom_site_fract_y
_atom_site_fract_z
Er1 0.000 0.000 0.000
Ge1 0.500 0.500 0.377
Pt1 0.000 0.500 0.223
Rh1 0.000 0.000 0.500
# Spin magnetization = 0.00 μB/f.u.
# Formation energy = -3.4 eV/f.u.
# ρ = 13.358 g/cm³
# Uncorrected energy = -6.0882 eV/atom

8.
# Er2Ge4RuPt3, optimized geometry, DFT GGA-PBE
data_Er2Ge4RuPt3
_cell_length_a 4.126
_cell_length_b 4.126
_cell_length_c 10.782
_cell_angle_alpha 90.00
_cell_angle_beta 90.00
_cell_angle_gamma 90.00
_symmetry_space_group_name_H-M 'P -4 m 2'
_symmetry_Int_Tables_number 115
loop_
_symmetry_equiv_pos_as_xyz
'x,y,z'
'y,-x,-z'
'-x,-y,z'
'-y,x,-z'
'-x,y,z'
'-y,-x,-z'
'x,-y,z'
'y,x,-z'
loop_
_atom_site_label
_atom_site_fract_x
_atom_site_fract_y
_atom_site_fract_z
Er1 0.000 0.500 0.241
Ge1 0.000 0.000 0.500
Ge2 0.000 0.500 0.870
Ge3 0.500 0.500 0.500
Ru1 0.500 0.500 0.000
Pt1 0.000 0.000 0.000
Pt2 0.000 0.500 0.644
# Spin magnetization = 0.00 μB/f.u.
# Formation energy = -8.3 eV/f.u.
# ρ = 11.865 g/cm³
# Uncorrected energy = -6.3288 eV/atom

9.
# Er4GePtS2, optimized geometry, DFT GGA-PBE
data_Er4GePtS2
_cell_length_a 6.806
_cell_length_b 3.939
_cell_length_c 7.143
_cell_angle_alpha 90.00
_cell_angle_beta 108.91
_cell_angle_gamma 90.00
_symmetry_space_group_name_H-M 'P 1 2/m 1'
_symmetry_Int_Tables_number 10
loop_
_symmetry_equiv_pos_as_xyz
'x,y,z'
'-x,-y,-z'
'-x,y,-z'
'x,-y,z'
loop_
_atom_site_label
_atom_site_fract_x
_atom_site_fract_y
_atom_site_fract_z
Er1 0.244 0.000 0.248
Er2 0.248 0.500 0.746
Ge1 0.500 0.000 0.000
Pt1 0.000 0.500 0.000
S1 0.000 0.000 0.500
S2 0.500 0.500 0.500
# Spin magnetization = 0.00 μB/f.u.
# Formation energy without anion corrections = -141 kJ per mole of atoms
# ρ = 9.173 g/cm³
# Uncorrected energy = -6.1077 eV/atom

10.
# ErGe2Sb2Pt7, optimized geometry, DFT GGA-PBE
data_ErGe2Sb2Pt7
_cell_length_a 5.597
_cell_length_b 5.596
_cell_length_c 15.729
_cell_angle_alpha 90.00
_cell_angle_beta 100.21
_cell_angle_gamma 90.00
_symmetry_space_group_name_H-M 'C 1 2/m 1'
_symmetry_Int_Tables_number 12
loop_
_symmetry_equiv_pos_as_xyz
'x,y,z'
'-x,-y,-z'
'-x,y,-z'
'x,-y,z'
'x+1/2,y+1/2,z'
'-x+1/2,-y+1/2,-z'
'-x+1/2,y+1/2,-z'
'x+1/2,-y+1/2,z'
loop_
_atom_site_label
_atom_site_fract_x
_atom_site_fract_y
_atom_site_fract_z
Er1 0.000 0.000 0.000
Ge1 0.119 0.500 0.240
Sb1 0.212 0.000 0.425
Pt1 0.000 0.500 0.000
Pt2 0.180 0.250 0.859
Pt3 0.200 0.500 0.400
# Spin magnetization = 0.00 μB/f.u.
# Formation energy without anion corrections = -60 kJ per mole of atoms
# ρ = 13.162 g/cm³
# Uncorrected energy = -5.9858 eV/atom

11.
# Er2ScGe3Pt4, optimized geometry, DFT GGA-PBE
data_Er2ScGe3Pt4
_cell_length_a 4.091
_cell_length_b 4.091
_cell_length_c 11.384
_cell_angle_alpha 90.00
_cell_angle_beta 90.00
_cell_angle_gamma 90.00
_symmetry_space_group_name_H-M 'P -4 m 2'
_symmetry_Int_Tables_number 115
loop_
_symmetry_equiv_pos_as_xyz
'x,y,z'
'y,-x,-z'
'-x,-y,z'
'-y,x,-z'
'-x,y,z'
'-y,-x,-z'
'x,-y,z'
'y,x,-z'
loop_
_atom_site_label
_atom_site_fract_x
_atom_site_fract_y
_atom_site_fract_z
Er1 0.000 0.500 0.230
Sc1 0.000 0.000 0.500
Ge1 0.000 0.500 0.865
Ge2 0.500 0.500 0.500
Pt1 0.000 0.000 0.000
Pt2 0.000 0.500 0.651
Pt3 0.500 0.500 0.000
# Spin magnetization = 0.00 μB/f.u.
# Formation energy = -9.7 eV/f.u.
# ρ = 12.008 g/cm³
# Uncorrected energy = -6.3128 eV/atom

12.
# Er4GePtSe2, optimized geometry, DFT GGA-PBE
data_Er4GePtSe2
_cell_length_a 6.949
_cell_length_b 4.057
_cell_length_c 7.276
_cell_angle_alpha 90.00
_cell_angle_beta 109.00
_cell_angle_gamma 90.00
_symmetry_space_group_name_H-M 'P 1 2/m 1'
_symmetry_Int_Tables_number 10
loop_
_symmetry_equiv_pos_as_xyz
'x,y,z'
'-x,-y,-z'
'-x,y,-z'
'x,-y,z'
loop_
_atom_site_label
_atom_site_fract_x
_atom_site_fract_y
_atom_site_fract_z
Er1 0.240 0.000 0.234
Er2 0.254 0.500 0.762
Ge1 0.500 0.000 0.000
Pt1 0.000 0.500 0.000
Se1 0.000 0.000 0.500
Se2 0.500 0.500 0.500
# Spin magnetization = 0.00 μB/f.u.
# Formation energy without anion corrections = -134 kJ per mole of atoms
# ρ = 9.373 g/cm³
# Uncorrected energy = -5.8685 eV/atom

13.
# Er2Si4GePt3, optimized geometry, DFT GGA-PBE
data_Er2Si4GePt3
_cell_length_a 4.213
_cell_length_b 4.213
_cell_length_c 9.872
_cell_angle_alpha 90.00
_cell_angle_beta 90.00
_cell_angle_gamma 90.00
_symmetry_space_group_name_H-M 'P -4 m 2'
_symmetry_Int_Tables_number 115
loop_
_symmetry_equiv_pos_as_xyz
'x,y,z'
'y,-x,-z'
'-x,-y,z'
'-y,x,-z'
'-x,y,z'
'-y,-x,-z'
'x,-y,z'
'y,x,-z'
loop_
_atom_site_label
_atom_site_fract_x
_atom_site_fract_y
_atom_site_fract_z
Er1 0.000 0.500 0.246
Si1 0.000 0.000 0.000
Si2 0.000 0.500 0.639
Si3 0.500 0.500 0.000
Ge1 0.000 0.000 0.500
Pt1 0.000 0.500 0.877
Pt2 0.500 0.500 0.500
# Spin magnetization = 0.00 μB/f.u.
# Formation energy without anion corrections = -85 kJ per mole of atoms
# ρ = 10.470 g/cm³
# Uncorrected energy = -6.2375 eV/atom

14.
# Er2SiGePt6, optimized geometry, DFT GGA-PBE
data_Er2SiGePt6
_cell_length_a 11.538
_cell_length_b 5.479
_cell_length_c 7.819
_cell_angle_alpha 90.00
_cell_angle_beta 132.36
_cell_angle_gamma 90.00
_symmetry_space_group_name_H-M 'C 1 2/m 1'
_symmetry_Int_Tables_number 12
loop_
_symmetry_equiv_pos_as_xyz
'x,y,z'
'-x,-y,-z'
'-x,y,-z'
'x,-y,z'
'x+1/2,y+1/2,z'
'-x+1/2,-y+1/2,-z'
'-x+1/2,y+1/2,-z'
'x+1/2,-y+1/2,z'
loop_
_atom_site_label
_atom_site_fract_x
_atom_site_fract_y
_atom_site_fract_z
Er1 0.001 0.000 0.252
Si1 0.000 0.500 0.000
Ge1 0.000 0.500 0.500
Pt1 0.160 0.500 0.913
Pt2 0.242 0.251 0.299
# Spin magnetization = 0.00 μB/f.u.
# Formation energy without anion corrections = -84 kJ per mole of atoms
# ρ = 14.599 g/cm³
# Uncorrected energy = -6.4148 eV/atom

15.
# SmEr2Ge2Pt7, optimized geometry, DFT GGA-PBE
data_SmEr2Ge2Pt7
_cell_length_a 5.786
_cell_length_b 5.716
_cell_length_c 14.097
_cell_angle_alpha 90.00
_cell_angle_beta 99.77
_cell_angle_gamma 90.00
_symmetry_space_group_name_H-M 'C 1 2/m 1'
_symmetry_Int_Tables_number 12
loop_
_symmetry_equiv_pos_as_xyz
'x,y,z'
'-x,-y,-z'
'-x,y,-z'
'x,-y,z'
'x+1/2,y+1/2,z'
'-x+1/2,-y+1/2,-z'
'-x+1/2,y+1/2,-z'
'x+1/2,-y+1/2,z'
loop_
_atom_site_label
_atom_site_fract_x
_atom_site_fract_y
_atom_site_fract_z
Sm1 0.000 0.000 0.000
Er1 0.131 0.000 0.360
Ge1 0.109 0.500 0.262
Pt1 0.000 0.500 0.000
Pt2 0.144 0.500 0.435
Pt3 0.183 0.250 0.840
# Spin magnetization = 0.00 μB/f.u.
# Formation energy = -11.3 eV/f.u.
# ρ = 14.424 g/cm³
# Uncorrected energy = -6.3892 eV/atom

16.
# Sm2ErGe3Pt4, optimized geometry, DFT GGA-PBE
data_Sm2ErGe3Pt4
_cell_length_a 4.270
_cell_length_b 4.270
_cell_length_c 11.217
_cell_angle_alpha 90.00
_cell_angle_beta 90.00
_cell_angle_gamma 90.00
_symmetry_space_group_name_H-M 'P -4 m 2'
_symmetry_Int_Tables_number 115
loop_
_symmetry_equiv_pos_as_xyz
'x,y,z'
'y,-x,-z'
'-x,-y,z'
'-y,x,-z'
'-x,y,z'
'-y,-x,-z'
'x,-y,z'
'y,x,-z'
loop_
_atom_site_label
_atom_site_fract_x
_atom_site_fract_y
_atom_site_fract_z
Sm1 0.000 0.500 0.222
Er1 0.000 0.000 0.500
Ge1 0.000 0.500 0.875
Ge2 0.500 0.500 0.500
Pt1 0.000 0.000 0.000
Pt2 0.000 0.500 0.656
Pt3 0.500 0.500 0.000
# Spin magnetization = 0.00 μB/f.u.
# Formation energy = -9.7 eV/f.u.
# ρ = 11.904 g/cm³
# Uncorrected energy = -6.1711 eV/atom

17.
# Sm2ErGe4Pt3, optimized geometry, DFT GGA-PBE
data_Sm2ErGe4Pt3
_cell_length_a 4.267
_cell_length_b 4.267
_cell_length_c 11.331
_cell_angle_alpha 90.00
_cell_angle_beta 90.00
_cell_angle_gamma 90.00
_symmetry_space_group_name_H-M 'P -4 m 2'
_symmetry_Int_Tables_number 115
loop_
_symmetry_equiv_pos_as_xyz
'x,y,z'
'y,-x,-z'
'-x,-y,z'
'-y,x,-z'
'-x,y,z'
'-y,-x,-z'
'x,-y,z'
'y,x,-z'
loop_
_atom_site_label
_atom_site_fract_x
_atom_site_fract_y
_atom_site_fract_z
Sm1 0.000 0.500 0.234
Er1 0.000 0.000 0.500
Ge1 0.000 0.000 0.000
Ge2 0.000 0.500 0.661
Ge3 0.500 0.500 0.000
Pt1 0.000 0.500 0.880
Pt2 0.500 0.500 0.500
# Spin magnetization = 0.00 μB/f.u.
# Formation energy = -9.0 eV/f.u.
# ρ = 10.815 g/cm³
# Uncorrected energy = -5.9625 eV/atom

18.
# TbErGe2Pt5, optimized geometry, DFT GGA-PBE
data_TbErGe2Pt5
_cell_length_a 4.250
_cell_length_b 4.250
_cell_length_c 9.043
_cell_angle_alpha 90.00
_cell_angle_beta 90.00
_cell_angle_gamma 90.00
_symmetry_space_group_name_H-M 'P 4/m m m'
_symmetry_Int_Tables_number 123
_symmetry_space_group_name_Hall '-P 4 2'
loop_
_atom_site_label
_atom_site_fract_x
_atom_site_fract_y
_atom_site_fract_z
Tb1 0.000 0.000 0.000
Er1 0.000 0.000 0.500
Ge1 0.500 0.500 0.367
Pt1 0.000 0.500 0.228
Pt2 0.500 0.500 0.000
# Spin magnetization = 0.00 μB/f.u.
# Formation energy = -8.4 eV/f.u.
# ρ = 14.712 g/cm³
# Uncorrected energy = -6.3360 eV/atom

19.
# TbErGePt, optimized geometry, DFT GGA-PBE
data_TbErGePt
_cell_length_a 7.068
_cell_length_b 7.068
_cell_length_c 7.068
_cell_angle_alpha 90.00
_cell_angle_beta 90.00
_cell_angle_gamma 90.00
_symmetry_space_group_name_H-M 'F -4 3 m'
_symmetry_Int_Tables_number 216
_symmetry_space_group_name_Hall 'F -4 2 3'
loop_
_atom_site_label
_atom_site_fract_x
_atom_site_fract_y
_atom_site_fract_z
Tb1 0.000 0.000 0.000
Er1 0.000 0.000 0.500
Ge1 0.250 0.250 0.250
Pt1 0.250 0.250 0.750
# Spin magnetization = 0.00 μB/f.u.
# Energy above the lowest structure with this stoichiometry = 133 meV/atom
# Formation energy = -3.8 eV/f.u.
# ρ = 11.172 g/cm³
# Uncorrected energy = -5.9075 eV/atom

20.
# Tb2ErGe3Pt4, optimized geometry, DFT GGA-PBE
data_Tb2ErGe3Pt4
_cell_length_a 4.196
_cell_length_b 4.196
_cell_length_c 11.392
_cell_angle_alpha 90.00
_cell_angle_beta 90.00
_cell_angle_gamma 90.00
_symmetry_space_group_name_H-M 'P -4 m 2'
_symmetry_Int_Tables_number 115
loop_
_symmetry_equiv_pos_as_xyz
'x,y,z'
'y,-x,-z'
'-x,-y,z'
'-y,x,-z'
'-x,y,z'
'-y,-x,-z'
'x,-y,z'
'y,x,-z'
loop_
_atom_site_label
_atom_site_fract_x
_atom_site_fract_y
_atom_site_fract_z
Tb1 0.000 0.500 0.221
Er1 0.000 0.000 0.500
Ge1 0.000 0.500 0.872
Ge2 0.500 0.500 0.500
Pt1 0.000 0.000 0.000
Pt2 0.000 0.500 0.658
Pt3 0.500 0.500 0.000
# Spin magnetization = 0.00 μB/f.u.
# Formation energy = -9.6 eV/f.u.
# ρ = 12.283 g/cm³
# Uncorrected energy = -6.1412 eV/atom